[1]
This record from Alexandria via LeMat-Bulk describes ErCdSn2 after structural relaxation. The functional is PBE-GGA.

Cell lengths 3.4784, 5.4817, 5.4817 Å; angles 101.34, 90.00, 90.00 degrees
Sites, in units of the cell vectors:
Er (0.5000, 0.0000, 0.5000)
Cd (0.5000, 0.5000, 0.0000)
Sn (0.0000, 0.0000, 0.0000)
Sn (0.0000, 0.5000, 0.5000)

D(E_F): 1.9 states/eV/cell
ΔE_f: -0.321 eV/atom
ΔE to the lowest computed polymorph: 92 meV per atom

[2]
This record from Alexandria via LeMat-Bulk describes Er3CdSn after structural relaxation. The functional is PBE-GGA.

Cell lengths 6.3371, 8.9318, 10.0178 Å; angles 90.00, 90.00, 90.00 degrees
Sites, in units of the cell vectors:
Er (0.6007, 0.6758, 0.9360)
Sn (0.8143, 0.0134, 0.7500)
Er (0.8993, 0.1758, 0.0640)
Er (0.7967, 0.3635, 0.7500)
Sn (0.6857, 0.5134, 0.2500)
Er (0.1007, 0.8242, 0.5639)
Er (0.2033, 0.6365, 0.2500)
Sn (0.3143, 0.4866, 0.7500)
Cd (0.0000, 0.5000, 0.5000)
Sn (0.1857, 0.9866, 0.2500)
Cd (0.5000, 0.0000, 0.0000)
Cd (0.0000, 0.5000, 0.0000)
Er (0.1007, 0.8242, 0.9360)
Er (0.6007, 0.6758, 0.5639)
Er (0.8993, 0.1758, 0.4360)
Er (0.7033, 0.8635, 0.2500)
Cd (0.5000, 0.0000, 0.5000)
Er (0.3993, 0.3242, 0.0640)
Er (0.3993, 0.3242, 0.4360)
Er (0.2967, 0.1365, 0.7500)

D(E_F): 17.6 states/eV/cell
ΔE_f: -0.236 eV/atom

[3]
This record from Alexandria via LeMat-Bulk describes Er7Cd2Sn2 after structural relaxation. The functional is PBE-GGA.

Cell lengths 6.7045, 7.9687, 6.7045 Å; angles 90.01, 111.77, 89.99 degrees
Sites, in units of the cell vectors:
Sn (0.1929, 0.5000, 0.1929)
Sn (0.8071, 0.5000, 0.8071)
Er (0.5002, 0.7640, 0.4998)
Cd (0.7192, 0.0000, 0.2808)
Er (0.0002, 0.7057, 0.4997)
Cd (0.2808, 0.0000, 0.7192)
Er (0.5003, 0.7057, 0.9998)
Er (0.0000, 0.0000, 0.0000)
Er (0.4997, 0.2943, 0.0002)
Er (0.4998, 0.2360, 0.5002)
Er (0.9998, 0.2943, 0.5003)

D(E_F): 13.6 states/eV/cell
ΔE_f: -0.046 eV/atom

[4]
This record from Alexandria via LeMat-Bulk describes ErCd2Sn after structural relaxation. The functional is PBE-GGA.

Cell lengths 3.3269, 3.3269, 11.6506 Å; angles 81.79, 81.79, 60.00 degrees
Sites, in units of the cell vectors:
Cd (0.9102, 0.9102, 0.2695)
Sn (0.5000, 0.5000, 0.5000)
Er (0.0000, 0.0000, 0.0000)
Cd (0.0898, 0.0898, 0.7305)

D(E_F): 2.8 states/eV/cell
ΔE_f: 0.179 eV/atom
ΔE to the lowest computed polymorph: 573 meV per atom

[5]
This record from Alexandria via LeMat-Bulk describes Er5Cd2Sn after structural relaxation. The functional is PBE-GGA.

Cell lengths 8.2064, 8.2064, 8.7155 Å; angles 118.09, 118.09, 90.00 degrees
Sites, in units of the cell vectors:
Er (0.1926, 0.0029, 0.6956)
Er (0.6926, 0.1926, 0.6956)
Er (0.0000, 0.0000, 0.0000)
Er (0.5000, 0.5000, 0.0000)
Cd (0.6365, 0.1365, 0.0000)
Cd (0.3635, 0.8635, 0.0000)
Sn (0.7500, 0.7500, 0.5000)
Cd (0.8635, 0.6365, 0.0000)
Er (0.3074, 0.8074, 0.3044)
Er (0.4971, 0.3074, 0.3044)
Er (0.8074, 0.9971, 0.3044)
Er (0.5029, 0.6926, 0.6956)
Er (0.0029, 0.5029, 0.6956)
Er (0.9971, 0.4971, 0.3044)
Cd (0.1365, 0.3635, 0.0000)
Sn (0.2500, 0.2500, 0.5000)

D(E_F): 12.1 states/eV/cell
ΔE_f: -0.347 eV/atom

[6]
This record from Alexandria via LeMat-Bulk describes ErCdSn2 after structural relaxation. The functional is PBE-GGA.

Cell lengths 4.9303, 4.9303, 5.7475 Å; angles 64.60, 64.60, 60.00 degrees
Sites, in units of the cell vectors:
Sn (0.2433, 0.2433, 0.2700)
Cd (0.5000, 0.5000, 0.5000)
Sn (0.7567, 0.7567, 0.7300)
Er (0.0000, 0.0000, 0.0000)

D(E_F): 2.6 states/eV/cell
ΔE_f: -0.170 eV/atom
ΔE to the lowest computed polymorph: 243 meV per atom

[7]
This record from Alexandria via LeMat-Bulk describes Er3Cd2Sn after structural relaxation. The functional is PBE-GGA.

Cell lengths 3.7232, 5.2243, 8.3260 Å; angles 108.28, 90.00, 90.00 degrees
Sites, in units of the cell vectors:
Sn (0.0000, 0.0000, 0.0000)
Cd (0.0000, 0.3243, 0.6486)
Cd (0.0000, 0.6757, 0.3514)
Er (0.5000, 0.5000, 0.0000)
Er (0.5000, 0.8353, 0.6706)
Er (0.5000, 0.1647, 0.3294)

D(E_F): 3.9 states/eV/cell
ΔE_f: -0.433 eV/atom

[8]
This record from Alexandria via LeMat-Bulk describes Er2CdSn4 after structural relaxation. The functional is PBE-GGA.

Cell lengths 4.5602, 6.4335, 6.4335 Å; angles 92.35, 90.00, 90.00 degrees
Sites, in units of the cell vectors:
Sn (0.0000, 0.7577, 0.7577)
Er (0.0000, 0.2468, 0.7532)
Sn (0.5000, 0.5000, 0.0000)
Er (0.0000, 0.7532, 0.2468)
Cd (0.5000, 0.5000, 0.5000)
Sn (0.5000, 0.0000, 0.5000)
Sn (0.0000, 0.2423, 0.2423)

D(E_F): 3.2 states/eV/cell
ΔE_f: -0.398 eV/atom
ΔE to the lowest computed polymorph: 0 meV per atom

[9]
This record from Alexandria via LeMat-Bulk describes Er2Cd5Sn after structural relaxation. The functional is PBE-GGA.

Cell lengths 4.4468, 6.5308, 13.0908 Å; angles 90.00, 90.00, 90.00 degrees
Sites, in units of the cell vectors:
Cd (0.0000, 0.9775, 0.7538)
Cd (0.5000, 0.7731, 0.1331)
Cd (0.5000, 0.2269, 0.8669)
Cd (0.0000, 0.5000, 0.5000)
Er (0.5000, 0.2737, 0.1178)
Sn (0.0000, 0.0000, 0.5000)
Cd (0.0000, 0.0225, 0.2462)
Sn (0.0000, 0.5000, 0.0000)
Er (0.5000, 0.7737, 0.3822)
Er (0.5000, 0.7263, 0.8822)
Cd (0.0000, 0.5225, 0.2538)
Er (0.5000, 0.2263, 0.6178)
Cd (0.5000, 0.2731, 0.3669)
Cd (0.0000, 0.0000, 0.0000)
Cd (0.5000, 0.7269, 0.6331)
Cd (0.0000, 0.4775, 0.7462)

D(E_F): 10.5 states/eV/cell
ΔE_f: -0.326 eV/atom

[10]
This record from Alexandria via LeMat-Bulk describes ErCdSn2 after structural relaxation. The functional is PBE-GGA.

Cell lengths 4.5507, 4.5507, 6.8572 Å; angles 70.62, 70.62, 60.00 degrees
Sites, in units of the cell vectors:
Sn (0.2457, 0.2457, 0.2630)
Cd (0.4950, 0.4950, 0.5149)
Sn (0.0875, 0.0875, 0.7374)
Er (0.6717, 0.6717, 0.9848)

D(E_F): 2.3 states/eV/cell
ΔE_f: -0.216 eV/atom
ΔE to the lowest computed polymorph: 198 meV per atom

[11]
This record from Alexandria via LeMat-Bulk describes Er2CdSn after structural relaxation. The functional is PBE-GGA.

Cell lengths 4.2251, 4.9184, 4.9184 Å; angles 90.00, 90.00, 90.00 degrees
Each line ends with the local moment (μB).
Sites, in units of the cell vectors:
Sn (0.5000, 0.5000, 0.5000)  0.00
Cd (0.5000, 0.0000, 0.0000)  0.00
Er (0.0000, 0.0000, 0.5000)  0.06
Er (0.0000, 0.5000, 0.0000)  0.06

D(E_F): 3.3 states/eV/cell
ΔE_f: -0.481 eV/atom

[12]
This record from Alexandria via LeMat-Bulk describes ErCd2Sn after structural relaxation. The functional is PBE-GGA.

Cell lengths 4.8269, 4.4384, 4.4384 Å; angles 90.00, 90.00, 90.00 degrees
Sites, in units of the cell vectors:
Er (0.5000, 0.0000, 0.0000)
Cd (0.0000, 0.0000, 0.5000)
Cd (0.0000, 0.5000, 0.0000)
Sn (0.5000, 0.5000, 0.5000)

D(E_F): 0.9 states/eV/cell
ΔE_f: -0.394 eV/atom
ΔE to the lowest computed polymorph: 0 meV per atom

[13]
This record from Alexandria via LeMat-Bulk describes ErCd2Sn3 after structural relaxation. The functional is PBE-GGA.

Cell lengths 4.4233, 4.6314, 7.7006 Å; angles 107.50, 90.00, 90.00 degrees
Sites, in units of the cell vectors:
Sn (0.5000, 0.1698, 0.3396)
Sn (0.5000, 0.8302, 0.6604)
Cd (0.0000, 0.6629, 0.3258)
Cd (0.0000, 0.3371, 0.6742)
Sn (0.5000, 0.5000, 0.0000)
Er (0.0000, 0.0000, 0.0000)

D(E_F): 2.7 states/eV/cell
ΔE_f: -0.223 eV/atom

[14]
This record from Alexandria via LeMat-Bulk describes Er4Cd3Sn after structural relaxation. The functional is PBE-GGA.

Cell lengths 3.7334, 5.2299, 10.4943 Å; angles 90.00, 90.00, 90.00 degrees
Sites, in units of the cell vectors:
Sn (0.5000, 0.5000, 0.0000)
Cd (0.5000, 0.0000, 0.7423)
Er (0.0000, 0.5000, 0.2501)
Er (0.0000, 0.0000, 0.0000)
Cd (0.5000, 0.0000, 0.2577)
Cd (0.5000, 0.5000, 0.5000)
Er (0.0000, 0.5000, 0.7499)
Er (0.0000, 0.0000, 0.5000)

D(E_F): 6.9 states/eV/cell
ΔE_f: -0.396 eV/atom

[15]
This record from Alexandria via LeMat-Bulk describes Er6Cd5Sn after structural relaxation. The functional is PBE-GGA.

Cell lengths 5.2716, 7.3449, 8.3524 Å; angles 90.00, 71.67, 90.00 degrees
Sites, in units of the cell vectors:
Cd (0.0000, 0.5000, 0.0000)
Er (0.1662, 0.2518, 0.6672)
Er (0.5000, 0.2480, 0.0000)
Er (0.1662, 0.7482, 0.6672)
Er (0.8338, 0.7482, 0.3328)
Cd (0.3261, 0.0000, 0.3486)
Cd (0.6739, 0.0000, 0.6514)
Cd (0.3343, 0.5000, 0.3314)
Er (0.8338, 0.2518, 0.3328)
Cd (0.6657, 0.5000, 0.6686)
Er (0.5000, 0.7520, 0.0000)
Sn (0.0000, 0.0000, 0.0000)

D(E_F): 10.9 states/eV/cell
ΔE_f: -0.379 eV/atom

[16]
This record from Alexandria via LeMat-Bulk describes Er2Cd3Sn3 after structural relaxation. The functional is PBE-GGA.

Cell lengths 4.7642, 4.5842, 8.8828 Å; angles 90.00, 90.00, 90.00 degrees
Sites, in units of the cell vectors:
Cd (0.5000, 0.5000, 0.2402)
Sn (0.5000, 0.0000, 0.5000)
Cd (0.5000, 0.0000, 0.0000)
Sn (0.0000, 0.5000, 0.5000)
Sn (0.0000, 0.5000, 0.0000)
Cd (0.5000, 0.5000, 0.7598)
Er (0.0000, 0.0000, 0.7448)
Er (0.0000, 0.0000, 0.2552)

D(E_F): 2.9 states/eV/cell
ΔE_f: -0.406 eV/atom

[17]
This record from Alexandria via LeMat-Bulk describes Er2CdSn4 after structural relaxation. The functional is PBE-GGA.

Cell lengths 4.4330, 4.4330, 9.5504 Å; angles 90.00, 90.00, 90.00 degrees
Sites, in units of the cell vectors:
Er (0.5000, 0.0000, 0.7576)
Sn (0.5000, 0.0000, 0.1946)
Sn (0.0000, 0.0000, 0.5000)
Sn (0.5000, 0.5000, 0.5000)
Er (0.0000, 0.5000, 0.2424)
Sn (0.0000, 0.5000, 0.8054)
Cd (0.5000, 0.5000, 0.0000)

D(E_F): 3.9 states/eV/cell
ΔE_f: -0.351 eV/atom
ΔE to the lowest computed polymorph: 47 meV per atom

[18]
This record from Alexandria via LeMat-Bulk describes ErCdSn2 after structural relaxation. The functional is PBE-GGA.

Cell lengths 4.4085, 4.7306, 4.7306 Å; angles 90.00, 90.00, 90.00 degrees
Sites, in units of the cell vectors:
Sn (0.0000, 0.0000, 0.5000)
Er (0.5000, 0.5000, 0.5000)
Cd (0.5000, 0.0000, 0.0000)
Sn (0.0000, 0.5000, 0.0000)

D(E_F): 1.3 states/eV/cell
ΔE_f: -0.413 eV/atom
ΔE to the lowest computed polymorph: 0 meV per atom

[19]
This record from Alexandria via LeMat-Bulk describes Er4Cd2Sn after structural relaxation. The functional is PBE-GGA.

Cell lengths 5.1683, 5.1683, 9.0012 Å; angles 73.32, 73.32, 60.00 degrees
Sites, in units of the cell vectors:
Er (0.6194, 0.6194, 0.1418)
Er (0.1280, 0.1280, 0.6160)
Sn (0.0000, 0.0000, 0.0000)
Er (0.3806, 0.3806, 0.8582)
Cd (0.2485, 0.2485, 0.2545)
Cd (0.7515, 0.7515, 0.7455)
Er (0.8720, 0.8720, 0.3840)

D(E_F): 8.1 states/eV/cell
ΔE_f: -0.222 eV/atom

[20]
This record from Alexandria via LeMat-Bulk describes Er2CdSn after structural relaxation. The functional is PBE-GGA.

Cell lengths 3.4639, 3.4639, 11.4132 Å; angles 81.27, 81.27, 60.00 degrees
Sites, in units of the cell vectors:
Er (0.0920, 0.0920, 0.7240)
Er (0.9080, 0.9080, 0.2760)
Cd (0.5000, 0.5000, 0.5000)
Sn (0.0000, 0.0000, 0.0000)

D(E_F): 4.3 states/eV/cell
ΔE_f: -0.012 eV/atom

V across the listed records, respectively: 102.48, 141.76, 332.65, 110.14, 218.97, 105.11, 153.77, 188.59, 190.09, 113.60, 102.21, 95.09, 150.45, 204.91, 306.98, 194.00, 187.68, 98.66, 196.45, 116.76 Å³/f.u..
E_tot across the listed records, respectively: -3.69, -3.96, -3.84, -2.42, -3.93, -3.54, -3.69, -4.12, -2.54, -3.59, -3.99, -2.99, -3.29, -3.52, -3.38, -3.39, -4.07, -3.78, -3.66, -3.52 eV per atom.